First-principles (meta-GGA SCAN) data for a crystal of La2Sc2O5 relaxed with PBEsol, as listed in Alexandria via LeMat-Bulk.

The structure in CIF format:
```
data_La2Sc2O5
_chemical_formula_sum 'La4 Sc4 O10'
_cell_length_a 8.9427
_cell_length_b 8.9427
_cell_length_c 8.9427
_cell_angle_alpha 53.25
_cell_angle_beta 142.81
_cell_angle_gamma 143.29
_symmetry_space_group_name_H-M 'P 1'
_symmetry_Int_Tables_number 1
_symmetry_space_group_name_Hall 'P 1'
loop_
_atom_site_label
_atom_site_type_symbol
_atom_site_fract_x
_atom_site_fract_y
_atom_site_fract_z
La1 La 0.0116 0.1287 0.1403
La2 La 0.0116 0.3713 0.3829
La3 La 0.9884 0.6287 0.6171
La4 La 0.9884 0.8713 0.8597
Sc1 Sc 0.4784 0.7506 0.2278
Sc2 Sc 0.5006 0.0006 0.5000
Sc3 Sc 0.5006 0.5006 0.0000
Sc4 Sc 0.5228 0.2506 0.7722
O1 O 0.0006 0.0004 0.5003
O2 O 0.0007 0.2166 0.7164
O3 O 0.0007 0.7843 0.2842
O4 O 0.4030 0.6274 0.0269
O5 O 0.4030 0.8761 0.2756
O6 O 0.5002 0.2843 0.2836
O7 O 0.5001 0.5004 0.4997
O8 O 0.5002 0.7166 0.7158
O9 O 0.6005 0.1274 0.7244
O10 O 0.6005 0.3761 0.9731
```

Computed properties:
spin magnetization	0.0	μB/cell
crystal system	orthorhombic
formation energy without anion corrections	-3.5103	eV/atom